No. 1
TaMoAs2Se | PBE | relaxed

```
data_TaMoAs2Se
_chemical_formula_sum 'Ta1 Mo1 As2 Se1'
_symmetry_space_group_name_H-M 'P 4/m m m'
_symmetry_Int_Tables_number 123
_symmetry_space_group_name_Hall '-P 4 2'
_cell_length_a 4.9954
_cell_length_b 4.9954
_cell_length_c 4.9642
_cell_angle_alpha 90.00
_cell_angle_beta 90.00
_cell_angle_gamma 90.00
loop_
_atom_site_label
_atom_site_fract_x
_atom_site_fract_y
_atom_site_fract_z
_atom_site_occupancy
Ta1 0.0000 0.0000 0.0000 1
Mo1 0.5000 0.5000 0.5000 1
As1 0.0000 0.5000 0.0000 1
Se1 0.0000 0.0000 0.5000 1
```

Results
For the formation energy without anion corrections, the calculation gives 0.815 eV per atom. The calculated total energy is -31.39 eV for the cell shown. The mass density is 6.8 g/cm3. The value obtained for the distance to the lowest polymorph of the same formula is 0 meV per atom.

---

No. 2
MnRe2P | PBE | relaxed

```
data_MnRe2P
_chemical_formula_sum 'Mn3 Re6 P3'
_symmetry_space_group_name_H-M 'R 3 m'
_symmetry_Int_Tables_number 160
_symmetry_space_group_name_Hall 'R 3 -2"'
_cell_length_a 2.7712
_cell_length_b 2.7712
_cell_length_c 24.0788
_cell_angle_alpha 90.00
_cell_angle_beta 90.00
_cell_angle_gamma 120.00
loop_
_atom_site_label
_atom_site_fract_x
_atom_site_fract_y
_atom_site_fract_z
_atom_site_occupancy
Mn1 0.0000 0.0000 0.0000 1
Re1 0.0000 0.0000 0.5127 1
Re2 0.0000 0.0000 0.7536 1
P1 0.0000 0.0000 0.2623 1
```

Results
The calculated total energy is -118.12 eV for the cell shown. The mass density is 14.3 g/cm3. As for the formation energy: 10 kJ/mol of formula units.

---

No. 3
LiTm5In6 | PBE | relaxed

```
data_LiTm5In6
_chemical_formula_sum 'Li2 Tm10 In12'
_symmetry_space_group_name_H-M 'I m m m'
_symmetry_Int_Tables_number 71
_symmetry_space_group_name_Hall '-I 2 2'
_cell_length_a 5.1630
_cell_length_b 7.4243
_cell_length_c 15.5752
_cell_angle_alpha 90.00
_cell_angle_beta 90.00
_cell_angle_gamma 90.00
loop_
_atom_site_label
_atom_site_fract_x
_atom_site_fract_y
_atom_site_fract_z
_atom_site_occupancy
Li1 0.0000 0.0000 0.0000 1
Tm1 0.0000 0.0000 0.3368 1
Tm2 0.0000 0.5000 0.0000 1
Tm3 0.0000 0.5000 0.3297 1
In1 0.0000 0.2402 0.1608 1
In2 0.0000 0.2707 0.5000 1
```

Results
The calculated total energy is -91.20 eV for the cell shown. The mass density is 8.6 g/cm3. As for the formation energy: -472 kJ/mol of formula units.

---

No. 4
CaSiIr3 | PBE | relaxed

```
data_CaSiIr3
_chemical_formula_sum 'Ca1 Si1 Ir3'
_symmetry_space_group_name_H-M 'P m -3 m'
_symmetry_Int_Tables_number 221
_symmetry_space_group_name_Hall '-P 4 2 3'
_cell_length_a 4.5069
_cell_length_b 4.5069
_cell_length_c 4.5069
_cell_angle_alpha 90.00
_cell_angle_beta 90.00
_cell_angle_gamma 90.00
loop_
_atom_site_label
_atom_site_fract_x
_atom_site_fract_y
_atom_site_fract_z
_atom_site_occupancy
Ca1 0.0000 0.0000 0.0000 1
Si1 0.5000 0.5000 0.5000 1
Ir1 0.0000 0.5000 0.5000 1
```

Results
For the formation energy without anion corrections, the calculation gives -0.026 eV per atom. The calculated total energy is -34.14 eV for the cell shown. The mass density is 11.7 g/cm3. The value obtained for the distance to the lowest polymorph of the same formula is 0 meV per atom.

---

No. 5
Y2FeSb | PBE | relaxed

```
data_Y2FeSb
_chemical_formula_sum 'Y4 Fe2 Sb2'
_symmetry_space_group_name_H-M 'I m m 2'
_symmetry_Int_Tables_number 44
_symmetry_space_group_name_Hall 'I 2 -2'
_cell_length_a 3.7330
_cell_length_b 4.7276
_cell_length_c 10.6962
_cell_angle_alpha 90.00
_cell_angle_beta 90.00
_cell_angle_gamma 90.00
loop_
_atom_site_label
_atom_site_fract_x
_atom_site_fract_y
_atom_site_fract_z
_atom_site_occupancy
Y1 0.0000 0.0000 0.0000 1
Y2 0.0000 0.5000 0.2230 1
Fe1 0.0000 0.5000 0.7430 1
Sb1 0.0000 0.0000 0.4294 1
```

Results
For the formation energy without anion corrections, the calculation gives -0.299 eV per atom. The calculated total energy is -53.42 eV for the cell shown. The mass density is 6.3 g/cm3.

---

No. 6
Sm5YMg3 | PBE | relaxed

```
data_Sm5YMg3
_chemical_formula_sum 'Sm20 Y4 Mg12'
_symmetry_space_group_name_H-M 'C 1 2/m 1'
_symmetry_Int_Tables_number 12
_symmetry_space_group_name_Hall '-C 2y'
_cell_length_a 13.6558
_cell_length_b 8.1665
_cell_length_c 10.8202
_cell_angle_alpha 90.00
_cell_angle_beta 97.66
_cell_angle_gamma 90.00
loop_
_atom_site_label
_atom_site_fract_x
_atom_site_fract_y
_atom_site_fract_z
_atom_site_occupancy
Sm1 0.0000 0.1704 0.0000 1
Sm2 0.0107 0.0000 0.6405 1
Sm3 0.1507 0.2938 0.7258 1
Sm4 0.2417 0.5000 0.0309 1
Y1 0.1036 0.5000 0.2668 1
Mg1 0.0000 0.5000 0.0000 1
Mg2 0.0000 0.5000 0.5000 1
Mg3 0.1575 0.0000 0.2095 1
Mg4 0.2200 0.0000 0.4955 1
```

Results
The calculated total energy is -125.85 eV for the cell shown. The mass density is 5.1 g/cm3. As for the formation energy: 326 kJ/mol of formula units.

---

No. 7
Cs2Rb8Au | PBE | relaxed

```
data_Cs2Rb8Au
_chemical_formula_sum 'Cs4 Rb16 Au2'
_symmetry_space_group_name_H-M 'C 1 2/m 1'
_symmetry_Int_Tables_number 12
_symmetry_space_group_name_Hall '-C 2y'
_cell_length_a 23.9614
_cell_length_b 9.8626
_cell_length_c 8.4140
_cell_angle_alpha 90.00
_cell_angle_beta 109.04
_cell_angle_gamma 90.00
loop_
_atom_site_label
_atom_site_fract_x
_atom_site_fract_y
_atom_site_fract_z
_atom_site_occupancy
Cs1 0.1368 0.0000 0.4110 1
Rb1 0.0567 0.2479 0.8048 1
Rb2 0.1350 0.5000 0.3734 1
Rb3 0.2467 0.5000 0.9769 1
Au1 0.0000 0.0000 0.5000 1
```

Results
The calculated total energy is -26.48 eV for the cell shown. The mass density is 2.0 g/cm3. As for the formation energy: -50 kJ/mol of formula units. The value obtained for the distance to the lowest polymorph of the same formula is 0 meV per atom.

---

No. 8
NbMo2W4 | PBE | relaxed

```
data_NbMo2W4
_chemical_formula_sum 'Nb2 Mo4 W8'
_symmetry_space_group_name_H-M 'I 4/m m m'
_symmetry_Int_Tables_number 139
_symmetry_space_group_name_Hall '-I 4 2'
_cell_length_a 6.9158
_cell_length_b 6.9158
_cell_length_c 5.0593
_cell_angle_alpha 90.00
_cell_angle_beta 90.00
_cell_angle_gamma 90.00
loop_
_atom_site_label
_atom_site_fract_x
_atom_site_fract_y
_atom_site_fract_z
_atom_site_occupancy
Nb1 0.0000 0.0000 0.0000 1
Mo1 0.0000 0.5000 0.2500 1
W1 0.1878 0.1878 0.5000 1
```

Results
The calculated total energy is -160.66 eV for the cell shown. The mass density is 14.0 g/cm3. As for the formation energy: 310 kJ/mol of formula units. The value obtained for the distance to the lowest polymorph of the same formula is 42 meV per atom.

---

No. 9
Tb2ZrSc | PBE | relaxed

```
data_Tb2ZrSc
_chemical_formula_sum 'Tb2 Zr1 Sc1'
_symmetry_space_group_name_H-M 'P 4/m m m'
_symmetry_Int_Tables_number 123
_symmetry_space_group_name_Hall '-P 4 2'
_cell_length_a 4.7782
_cell_length_b 4.7782
_cell_length_c 4.7604
_cell_angle_alpha 90.00
_cell_angle_beta 90.00
_cell_angle_gamma 90.00
loop_
_atom_site_label
_atom_site_fract_x
_atom_site_fract_y
_atom_site_fract_z
_atom_site_occupancy
Tb1 0.0000 0.5000 0.0000 1
Zr1 0.0000 0.0000 0.5000 1
Sc1 0.5000 0.5000 0.5000 1
```

Results
The calculated total energy is -23.79 eV for the cell shown. The mass density is 6.9 g/cm3. As for the formation energy: 33 kJ/mol of formula units. The value obtained for the distance to the lowest polymorph of the same formula is 0 meV per atom.

---

No. 10
KZr2Pb | PBE | relaxed

```
data_KZr2Pb
_chemical_formula_sum 'K4 Zr8 Pb4'
_symmetry_space_group_name_H-M 'I -4 2 d'
_symmetry_Int_Tables_number 122
_symmetry_space_group_name_Hall 'I -4 2bw'
_cell_length_a 5.1453
_cell_length_b 5.1453
_cell_length_c 21.8085
_cell_angle_alpha 90.00
_cell_angle_beta 90.00
_cell_angle_gamma 90.00
loop_
_atom_site_label
_atom_site_fract_x
_atom_site_fract_y
_atom_site_fract_z
_atom_site_occupancy
K1 0.0000 0.0000 0.0000 1
Zr1 0.0616 0.2500 0.6250 1
Pb1 0.0000 0.0000 0.5000 1
```

Results
The calculated total energy is -75.05 eV for the cell shown. The mass density is 4.9 g/cm3. As for the formation energy: 303 kJ/mol of formula units. The value obtained for the distance to the lowest polymorph of the same formula is 682 meV per atom.

---

No. 11
NpAgGeAu | PBE | relaxed

```
data_NpAgGeAu
_chemical_formula_sum 'Np4 Ag4 Ge4 Au4'
_symmetry_space_group_name_H-M 'F -4 3 m'
_symmetry_Int_Tables_number 216
_symmetry_space_group_name_Hall 'F -4 2 3'
_cell_length_a 6.8991
_cell_length_b 6.8991
_cell_length_c 6.8991
_cell_angle_alpha 90.00
_cell_angle_beta 90.00
_cell_angle_gamma 90.00
loop_
_atom_site_label
_atom_site_fract_x
_atom_site_fract_y
_atom_site_fract_z
_atom_site_occupancy
Np1 0.0000 0.0000 0.0000 1
Ag1 0.0000 0.0000 0.5000 1
Ge1 0.2500 0.2500 0.7500 1
Au1 0.2500 0.2500 0.2500 1
```

Results
The calculated total energy is -95.39 eV for the cell shown. The mass density is 12.4 g/cm3. As for the formation energy: -15 kJ/mol of formula units.

---

No. 12
ZnNiP2 | PBE | relaxed

```
data_ZnNiP2
_chemical_formula_sum 'Zn1 Ni1 P2'
_symmetry_space_group_name_H-M 'P 4 m m'
_symmetry_Int_Tables_number 99
_symmetry_space_group_name_Hall 'P 4 -2'
_cell_length_a 2.6236
_cell_length_b 2.6236
_cell_length_c 8.9250
_cell_angle_alpha 90.00
_cell_angle_beta 90.00
_cell_angle_gamma 90.00
loop_
_atom_site_label
_atom_site_fract_x
_atom_site_fract_y
_atom_site_fract_z
_atom_site_occupancy
Zn1 0.0000 0.0000 0.0000 1
Ni1 0.5000 0.5000 0.2082 1
P1 0.0000 0.0000 0.3691 1
P2 0.5000 0.5000 0.7746 1
```

Results
The calculated total energy is -17.66 eV for the cell shown. The mass density is 5.0 g/cm3. As for the formation energy: 21 kJ/mol of formula units.

---

No. 13
RhSe2Br | PBE | relaxed

```
data_RhSe2Br
_chemical_formula_sum 'Rh1 Se2 Br1'
_symmetry_space_group_name_H-M 'P 1 2/m 1'
_symmetry_Int_Tables_number 10
_symmetry_space_group_name_Hall '-P 2y'
_cell_length_a 4.8013
_cell_length_b 3.7995
_cell_length_c 5.2644
_cell_angle_alpha 90.00
_cell_angle_beta 109.58
_cell_angle_gamma 90.00
loop_
_atom_site_label
_atom_site_fract_x
_atom_site_fract_y
_atom_site_fract_z
_atom_site_occupancy
Rh1 0.0000 0.0000 0.0000 1
Se1 0.3557 0.5000 0.1475 1
Br1 0.0000 0.0000 0.5000 1
```

Results
For the formation energy without anion corrections, the calculation gives -0.252 eV per atom. The calculated total energy is -17.00 eV for the cell shown. The mass density is 6.3 g/cm3. The value obtained for the distance to the lowest polymorph of the same formula is 60 meV per atom.